Record 1
{"formula": "Ho3GeTe6", "functional": "PBE", "state": "optimized geometry", "e_tot_ev_per_atom": -4.710, "e_form_raw_mev_per_atom": -990, "total_magnetization_mub_per_cell": 0.00, "dos_ef_per_ev_cell": 6.11, "sg": "Cmc2_1, No. 36", "lattice": [[-0.4979, -3.8734, -6.1794], [2.7423, -7.8742, 4.7148], [-9.5280, -0.2805, 0.9436]], "species": ["Te", "Ho", "Te", "Ge", "Te", "Te", "Te", "Ho", "Te", "Te", "Te", "Te", "Te", "Ho", "Te", "Ho", "Ge", "Te", "Ho", "Ho"], "fractional_positions": [[0.1400, 0.7781, 0.2219], [0.9843, 0.7205, 0.9147], [0.6778, 0.2988, 0.3742], [0.0237, 0.2022, 0.7978], [0.6400, 0.2219, 0.7781], [0.7185, 0.5555, 0.0960], [0.7185, 0.9040, 0.4445], [0.3771, 0.4065, 0.5935], [0.1778, 0.3742, 0.2988], [0.1834, 0.0331, 0.9669], [0.6778, 0.6258, 0.7012], [0.1778, 0.7012, 0.6258], [0.2185, 0.4445, 0.9040], [0.4843, 0.9147, 0.7205], [0.6834, 0.9669, 0.0331], [0.9843, 0.0853, 0.2795], [0.5237, 0.7978, 0.2022], [0.2185, 0.0960, 0.5555], [0.8771, 0.5935, 0.4065], [0.4843, 0.2795, 0.0853]]}

Record 2
{"formula": "Ho5Ge2Te2", "functional": "PBE", "state": "optimized geometry", "e_tot_ev_per_atom": -5.301, "e_form_raw_mev_per_atom": -1034, "total_magnetization_mub_per_cell": 0.00, "dos_ef_per_ev_cell": 15.94, "sg": "Cmce, No. 64", "lattice": [[-0.3404, -4.3491, -6.5447], [2.4150, -6.2512, 4.0285], [-8.3957, 1.3499, -0.4604]], "species": ["Ho", "Te", "Ho", "Ho", "Ge", "Te", "Ge", "Ho", "Ho", "Ho", "Te", "Ho", "Te", "Ge", "Ho", "Ge", "Ho", "Ho"], "fractional_positions": [[0.5000, 0.5000, 0.0000], [0.5000, 0.2958, 0.5915], [0.6620, 0.2861, 0.2505], [0.1620, 0.2140, 0.7495], [0.6401, 0.8575, 0.0000], [0.0000, 0.7958, 0.5915], [0.3599, 0.1425, 0.0000], [0.8380, 0.5356, 0.7495], [0.0000, 0.0000, 0.0000], [0.8380, 0.7860, 0.2505], [0.0000, 0.2042, 0.4085], [0.3380, 0.7140, 0.7495], [0.5000, 0.7042, 0.4085], [0.8599, 0.3575, 0.0000], [0.1620, 0.4644, 0.2505], [0.1401, 0.6425, 0.0000], [0.6620, 0.0356, 0.7495], [0.3380, 0.9644, 0.2505]]}

Record 3
{"formula": "Ho3GeTe", "functional": "PBE", "state": "optimized geometry", "e_tot_ev_per_atom": -5.096, "e_form_raw_mev_per_atom": -798, "total_magnetization_mub_per_cell": 0.00, "dos_ef_per_ev_cell": 15.52, "sg": "C2/c, No. 15", "lattice": [[-2.3477, 4.8912, -4.9151], [-5.2560, -6.5436, -3.6141], [-7.8553, 0.5051, 4.6418]], "species": ["Ho", "Te", "Ge", "Ho", "Ho", "Ho", "Ho", "Ho", "Ho", "Ho", "Te", "Ho", "Ho", "Ge", "Te", "Te", "Ge", "Ge", "Ho", "Ho"], "fractional_positions": [[0.4291, 0.2180, 0.9955], [0.3844, 0.8286, 0.6836], [0.7500, 0.0656, 0.9344], [0.4178, 0.4587, 0.3492], [0.5628, 0.1428, 0.6521], [0.0628, 0.6521, 0.1428], [0.0709, 0.0045, 0.7820], [0.9291, 0.9955, 0.2180], [0.9372, 0.3479, 0.8572], [0.5709, 0.7820, 0.0045], [0.1156, 0.3164, 0.1714], [0.0822, 0.6508, 0.5413], [0.9178, 0.3492, 0.4587], [0.2500, 0.9344, 0.0656], [0.8844, 0.6836, 0.8286], [0.6156, 0.1714, 0.3164], [0.2500, 0.3289, 0.6711], [0.7500, 0.6711, 0.3289], [0.5822, 0.5413, 0.6508], [0.4372, 0.8572, 0.3479]]}

Record 4
{"formula": "Ho4GeTe2", "functional": "PBE", "state": "optimized geometry", "e_tot_ev_per_atom": -5.081, "e_form_raw_mev_per_atom": -908, "total_magnetization_mub_per_cell": 0.00, "dos_ef_per_ev_cell": 12.16, "sg": "Imma, No. 74", "lattice": [[7.9640, -1.0880, -0.1723], [-1.6593, 7.8648, 0.1721], [-3.0213, -3.5101, 6.5699]], "species": ["Ho", "Ge", "Ho", "Ho", "Ho", "Te", "Te", "Ho", "Ge", "Ho", "Te", "Ho", "Te", "Ho"], "fractional_positions": [[0.8975, 0.6975, 0.2001], [0.2497, 0.7497, 0.5000], [0.3525, 0.0524, 0.2999], [0.9476, 0.6474, 0.7000], [0.7525, 0.0525, 0.7001], [0.6250, 0.8750, 0.2500], [0.6250, 0.3750, 0.7500], [0.3024, 0.1026, 0.8000], [0.0003, 0.0003, 0.0000], [0.9474, 0.2476, 0.3000], [0.6250, 0.3750, 0.2500], [0.3026, 0.5024, 0.2000], [0.1250, 0.3750, 0.7500], [0.4974, 0.6974, 0.7999]]}

Record 5
{"formula": "Ho5GeTe4", "functional": "PBE", "state": "optimized geometry", "e_tot_ev_per_atom": -5.264, "e_form_raw_mev_per_atom": -1257, "total_magnetization_mub_per_cell": 0.00, "dos_ef_per_ev_cell": 5.37, "sg": "I4/m, No. 87", "lattice": [[6.0589, 0.0000, 0.0000], [3.0294, 6.8312, 0.0000], [3.0294, 0.0000, 6.8312]], "species": ["Ho", "Ge", "Ho", "Te", "Te", "Ho", "Ho", "Te", "Ho", "Te"], "fractional_positions": [[0.5016, 0.0000, 0.0000], [0.0015, 0.0000, 0.0000], [0.9035, 0.3712, 0.8236], [0.5925, 0.6019, 0.2149], [0.1944, 0.2149, 0.3981], [0.2747, 0.8236, 0.6288], [0.0983, 0.6288, 0.1764], [0.4093, 0.3981, 0.7851], [0.7271, 0.1764, 0.3712], [0.8074, 0.7851, 0.6019]]}

Record 6
{"formula": "HoGe3Te6", "functional": "PBE", "state": "optimized geometry", "e_tot_ev_per_atom": -4.075, "e_form_raw_mev_per_atom": -347, "total_magnetization_mub_per_cell": 0.00, "dos_ef_per_ev_cell": 3.83, "sg": "P2_1/m, No. 11", "lattice": [[4.1142, 0.0000, 0.0000], [0.0000, 12.4364, -0.4859], [0.0000, -4.6087, 12.5319]], "species": ["Te", "Te", "Te", "Ge", "Te", "Te", "Te", "Ge", "Te", "Ge", "Ho", "Te", "Ge", "Te", "Ho", "Te", "Ge", "Ge", "Te", "Te"], "fractional_positions": [[0.2500, 0.6706, 0.9235], [0.2500, 0.2513, 0.7793], [0.2500, 0.5358, 0.3580], [0.2500, 0.8009, 0.7993], [0.2500, 0.9037, 0.5198], [0.2500, 0.0301, 0.8802], [0.7500, 0.9699, 0.1198], [0.2500, 0.2981, 0.5973], [0.7500, 0.7690, 0.6586], [0.7500, 0.5020, 0.8568], [0.2500, 0.9525, 0.2892], [0.7500, 0.0963, 0.4802], [0.7500, 0.1991, 0.2007], [0.7500, 0.3294, 0.0765], [0.7500, 0.0475, 0.7108], [0.2500, 0.2310, 0.3414], [0.7500, 0.7019, 0.4027], [0.2500, 0.4980, 0.1432], [0.7500, 0.4642, 0.6420], [0.7500, 0.7487, 0.2207]]}

Record 7
{"formula": "Ho4GeTe3", "functional": "PBE", "state": "optimized geometry", "e_tot_ev_per_atom": -5.303, "e_form_raw_mev_per_atom": -1259, "total_magnetization_mub_per_cell": 0.00, "dos_ef_per_ev_cell": 3.34, "sg": "Cmmm, No. 65", "lattice": [[-3.5122, -1.1309, 2.1487], [4.2517, -2.7480, 5.5035], [-1.4633, 7.1989, 1.3970]], "species": ["Ho", "Te", "Ho", "Ho", "Ho", "Te", "Ge", "Te"], "fractional_positions": [[0.0000, 0.7773, 0.7773], [0.5000, 0.5000, 0.5000], [0.5000, 0.2330, 0.7670], [0.0000, 0.2227, 0.2227], [0.5000, 0.7670, 0.2330], [0.0000, 0.5000, 0.0000], [0.5000, 0.0000, 0.0000], [0.0000, 0.0000, 0.5000]]}

Record 8
{"formula": "Ho5GeTe4", "functional": "PBE", "state": "optimized geometry", "e_tot_ev_per_atom": -5.237, "e_form_raw_mev_per_atom": -1230, "total_magnetization_mub_per_cell": 0.00, "dos_ef_per_ev_cell": 4.24, "sg": "I4/mmm, No. 139", "lattice": [[-2.1442, 2.0049, 3.0702], [-2.9180, 1.2209, -2.8352], [-5.6562, -14.6653, 2.6882]], "species": ["Te", "Ho", "Te", "Ge", "Ho", "Ho", "Te", "Te", "Ho", "Ho"], "fractional_positions": [[0.3960, 0.3960, 0.7921], [0.0879, 0.0879, 0.1758], [0.6040, 0.6040, 0.2079], [0.0000, 0.0000, 0.0000], [0.7102, 0.7102, 0.4203], [0.2898, 0.2898, 0.5797], [0.1918, 0.1918, 0.3836], [0.8082, 0.8082, 0.6164], [0.5000, 0.5000, 0.0000], [0.9121, 0.9121, 0.8242]]}

Record 9
{"formula": "HoThGeTe", "functional": "PBE", "state": "optimized geometry", "e_tot_ev_per_atom": -6.028, "e_form_raw_mev_per_atom": -1089, "total_magnetization_mub_per_cell": 0.00, "dos_ef_per_ev_cell": 1.98, "sg": "R3m, No. 160", "lattice": [[-2.9925, -2.0824, 2.2808], [0.5321, -0.5734, 4.2287], [-4.1742, 5.3183, 3.4331]], "species": ["Te", "Ho", "Ge", "Th"], "fractional_positions": [[0.7534, 0.7534, 0.7399], [0.5104, 0.5104, 0.4688], [0.2470, 0.2470, 0.2591], [0.9893, 0.9893, 0.0322]]}

Record 10
{"formula": "Ho6TlGe2Te3", "functional": "PBE", "state": "optimized geometry", "e_tot_ev_per_atom": -5.062, "e_form_raw_mev_per_atom": -1021, "total_magnetization_mub_per_cell": 0.00, "dos_ef_per_ev_cell": 5.22, "sg": "C2/m, No. 12", "lattice": [[4.2274, 0.0000, 0.0000], [0.0000, 8.7223, 0.2249], [-2.1137, -2.6027, 9.0485]], "species": ["Ho", "Te", "Ho", "Te", "Te", "Tl", "Ho", "Ho", "Ho", "Ho", "Ge", "Ge"], "fractional_positions": [[0.9910, 0.7447, 0.9820], [0.8355, 0.1689, 0.6710], [0.6682, 0.1067, 0.3365], [0.5000, 0.5000, 0.0000], [0.1645, 0.8311, 0.3290], [0.5000, 0.0000, 0.0000], [0.3318, 0.8933, 0.6635], [0.6746, 0.5649, 0.3492], [0.3254, 0.4351, 0.6508], [0.0090, 0.2553, 0.0180], [0.1671, 0.3336, 0.3342], [0.8329, 0.6664, 0.6658]]}

Record 11
{"formula": "Ho3Tl4GeTe8", "functional": "PBE", "state": "optimized geometry", "e_tot_ev_per_atom": -4.115, "e_form_raw_mev_per_atom": -806, "total_magnetization_mub_per_cell": 0.00, "dos_ef_per_ev_cell": 9.76, "sg": "R-3m, No. 166", "lattice": [[8.8750, 0.0000, 0.0000], [0.0000, 9.4682, 0.4103], [-4.4375, -4.4343, 6.2783]], "species": ["Ge", "Te", "Te", "Te", "Tl", "Te", "Te", "Tl", "Ho", "Ho", "Tl", "Tl", "Ho", "Te", "Te", "Te"], "fractional_positions": [[0.0000, 0.5000, 0.0000], [0.2343, 0.7094, 0.9752], [0.2611, 0.2834, 0.5221], [0.7657, 0.2906, 0.5313], [0.5000, 0.0000, 0.0000], [0.7389, 0.7166, 0.4779], [0.2591, 0.2906, 0.0248], [0.0000, 0.0000, 0.0000], [0.0000, 0.5000, 0.5000], [0.5000, 0.5000, 0.5000], [0.5000, 0.0000, 0.5000], [0.0000, 0.0000, 0.5000], [0.5000, 0.5000, 0.0000], [0.7409, 0.7094, 0.9752], [0.2343, 0.7094, 0.4687], [0.7657, 0.2906, 0.0248]]}

Record 12
{"formula": "HoTmGeTe", "functional": "PBE", "state": "optimized geometry", "e_tot_ev_per_atom": -5.284, "e_form_raw_mev_per_atom": -1082, "total_magnetization_mub_per_cell": 0.00, "dos_ef_per_ev_cell": 0.58, "sg": "R3m, No. 160", "lattice": [[4.1926, -0.0005, -0.0004], [-2.0958, 3.6314, 0.0000], [-2.0959, -1.2104, 7.1791]], "species": ["Ge", "Te", "Ho", "Tm"], "fractional_positions": [[0.3044, 0.5500, 0.8702], [0.9684, 0.3824, 0.3656], [0.1119, 0.9539, 0.0809], [0.4933, 0.1445, 0.6531]]}

Record 13
{"formula": "YHoGeTe", "functional": "PBE", "state": "optimized geometry", "e_tot_ev_per_atom": -5.826, "e_form_raw_mev_per_atom": -1126, "total_magnetization_mub_per_cell": 0.00, "dos_ef_per_ev_cell": 0.64, "sg": "R3m, No. 160", "lattice": [[4.2181, -0.0005, -0.0003], [-2.1086, 3.6537, 0.0000], [-2.1085, -1.2177, 7.2395]], "species": ["Y", "Te", "Ge", "Ho"], "fractional_positions": [[0.4927, 0.1442, 0.6521], [0.9660, 0.3811, 0.3619], [0.3067, 0.5512, 0.8737], [0.1126, 0.9543, 0.0820]]}

Record 14
{"formula": "HoTh3Ge4", "functional": "PBE", "state": "optimized geometry", "e_tot_ev_per_atom": -6.406, "e_form_ev_per_atom": -0.743, "total_magnetization_mub_per_cell": 0.00, "dos_ef_per_ev_cell": 9.64, "sg": "P2/c, No. 13", "lattice": [[7.4097, 0.0799, 0.0000], [-2.5219, 6.9331, 0.0000], [0.0000, 0.0000, 8.4929]], "species": ["Ge", "Ge", "Th", "Th", "Th", "Th", "Th", "Ge", "Ho", "Th", "Ge", "Ge", "Ge", "Ge", "Ge", "Ho"], "fractional_positions": [[0.0026, 0.7527, 0.3732], [0.4974, 0.2473, 0.3732], [0.7500, 0.5000, 0.6270], [0.7500, 0.5000, 0.1240], [0.2500, 0.0000, 0.6271], [0.2500, 0.5000, 0.3730], [0.2500, 0.5000, 0.8760], [0.5026, 0.7527, 0.6268], [0.7500, 0.0000, 0.8752], [0.7500, 0.0000, 0.3729], [0.9974, 0.2473, 0.6268], [0.0004, 0.7555, 0.8783], [0.5004, 0.7555, 0.1217], [0.4996, 0.2445, 0.8783], [0.9996, 0.2445, 0.1217], [0.2500, 0.0000, 0.1248]]}

Record 15
{"formula": "HoTh2Ge2", "functional": "PBE", "state": "optimized geometry", "e_tot_ev_per_atom": -6.457, "e_form_ev_per_atom": -0.726, "total_magnetization_mub_per_cell": 0.00, "dos_ef_per_ev_cell": 7.21, "sg": "P4/mbm, No. 127", "lattice": [[4.2478, 0.0000, 0.0000], [0.0000, 7.8450, 0.0000], [0.0000, 0.0000, 7.8450]], "species": ["Ge", "Th", "Ge", "Th", "Th", "Ho", "Th", "Ge", "Ho", "Ge"], "fractional_positions": [[0.0000, 0.3636, 0.8636], [0.5000, 0.8332, 0.3332], [0.0000, 0.1364, 0.3636], [0.5000, 0.6668, 0.8332], [0.5000, 0.1668, 0.6668], [0.0000, 0.0000, 0.0000], [0.5000, 0.3332, 0.1668], [0.0000, 0.8636, 0.6364], [0.0000, 0.5000, 0.5000], [0.0000, 0.6364, 0.1364]]}

Record 16
{"formula": "HoThGe2", "functional": "PBE", "state": "optimized geometry", "e_tot_ev_per_atom": -6.077, "e_form_ev_per_atom": -0.769, "total_magnetization_mub_per_cell": 0.00, "dos_ef_per_ev_cell": 4.69, "sg": "Pmc2_1, No. 26", "lattice": [[-0.8387, 4.0315, -0.1559], [-5.7640, -1.1806, 0.4783], [0.5738, 0.4276, 7.9711]], "species": ["Ge", "Ho", "Ge", "Th", "Ho", "Ge", "Th", "Ge"], "fractional_positions": [[0.5000, 0.8971, 0.4577], [0.5000, 0.6229, 0.8185], [0.5000, 0.1029, 0.9577], [0.0000, 0.1266, 0.6809], [0.5000, 0.3771, 0.3185], [0.0000, 0.6055, 0.5429], [0.0000, 0.8734, 0.1809], [0.0000, 0.3945, 0.0429]]}

Record 17
{"formula": "HoThGe2", "functional": "PBE", "state": "optimized geometry", "e_tot_ev_per_atom": -6.075, "e_form_ev_per_atom": -0.766, "total_magnetization_mub_per_cell": 0.00, "dos_ef_per_ev_cell": 2.53, "sg": "Amm2, No. 38", "lattice": [[-0.1893, 0.7153, -4.2211], [-2.9485, -2.9132, -0.3614], [-3.7623, 3.4445, 2.9296]], "species": ["Ho", "Ge", "Th", "Ge"], "fractional_positions": [[0.7203, 0.0000, 0.9791], [0.1714, 0.5000, 0.8805], [0.4451, 0.5000, 0.4299], [0.9942, 0.0000, 0.5285]]}

Record 18
{"formula": "HoTh2Ge3", "functional": "PBE", "state": "optimized geometry", "e_tot_ev_per_atom": -6.277, "e_form_ev_per_atom": -0.732, "total_magnetization_mub_per_cell": 0.00, "dos_ef_per_ev_cell": 13.77, "sg": "P2_1/c, No. 14", "lattice": [[-2.3302, -3.9937, 3.8628], [7.2897, 0.0440, 4.4437], [-4.4097, 9.4787, 7.1399]], "species": ["Ge", "Ge", "Ge", "Th", "Th", "Ge", "Ge", "Th", "Ge", "Ge", "Ho", "Ge", "Ge", "Ge", "Ho", "Ho", "Th", "Th", "Th", "Ge", "Th", "Ge", "Th", "Ho"], "fractional_positions": [[0.2493, 0.1233, 0.2508], [0.7496, 0.8799, 0.0819], [0.2493, 0.6233, 0.2492], [0.2496, 0.3718, 0.0830], [0.7493, 0.1259, 0.2520], [0.7496, 0.3714, 0.0807], [0.7496, 0.3799, 0.4181], [0.2507, 0.8741, 0.7480], [0.7496, 0.8714, 0.4193], [0.2504, 0.6201, 0.5819], [0.7504, 0.1244, 0.9151], [0.2504, 0.1201, 0.9181], [0.7507, 0.3767, 0.7508], [0.7507, 0.8767, 0.7492], [0.7504, 0.6244, 0.5849], [0.2496, 0.8756, 0.0849], [0.7504, 0.6282, 0.9170], [0.7493, 0.6259, 0.2480], [0.2496, 0.8718, 0.4170], [0.2504, 0.1286, 0.5807], [0.7504, 0.1282, 0.5830], [0.2504, 0.6286, 0.9193], [0.2507, 0.3741, 0.7520], [0.2496, 0.3756, 0.4151]]}

Record 19
{"formula": "Ho2ThGe2", "functional": "PBE", "state": "optimized geometry", "e_tot_ev_per_atom": -5.579, "e_form_ev_per_atom": -0.417, "total_magnetization_mub_per_cell": 0.00, "dos_ef_per_ev_cell": 8.40, "sg": "C2/c, No. 15", "lattice": [[-0.1749, 1.2706, -7.4284], [5.2515, -5.4061, -0.1477], [-5.1705, -2.1066, 1.9219]], "species": ["Th", "Ge", "Ge", "Ge", "Th", "Ho", "Ho", "Ho", "Ho", "Ge"], "fractional_positions": [[0.1213, 0.3787, 0.2500], [0.8386, 0.6614, 0.2500], [0.6141, 0.8859, 0.7500], [0.3859, 0.1141, 0.2500], [0.8787, 0.6213, 0.7500], [0.7808, 0.0681, 0.4791], [0.4319, 0.7192, 0.0209], [0.2192, 0.9319, 0.5209], [0.5681, 0.2808, 0.9791], [0.1614, 0.3386, 0.7500]]}

Record 20
{"formula": "HoThGe2", "functional": "PBE", "state": "optimized geometry", "e_tot_ev_per_atom": -5.909, "e_form_ev_per_atom": -0.601, "total_magnetization_mub_per_cell": 0.11, "dos_ef_per_ev_cell": 2.91, "sg": "P4/mmm, No. 123", "lattice": [[3.2206, 0.0000, 0.0000], [0.0000, 5.4299, 0.0000], [0.0000, 0.0000, 5.4299]], "species": ["Ge", "Th", "Ho", "Ge"], "fractional_positions": [[0.0000, 0.0000, 0.5000], [0.5000, 0.5000, 0.5000], [0.5000, 0.0000, 0.0000], [0.0000, 0.5000, 0.0000]]}